This record from the Alexandria database describes an optimized crystal structure of Nd2SmPaAs4. The functional is PBE.

Its density of states at the Fermi level is 0.68 states/eV/atom. As for the size of the total moment: 0.0 μB per formula unit. The energy of formation comes out at -11.29 eV per formula unit. The space-group type is P2/m, No. 10. The calculation puts the total energy at -6.71 eV/atom.

Unit cell a=4.2089 b=7.2730 c=7.2908 alpha=109.41 beta=90.00 gamma=90.00
Closest atoms and distances in Å follow each position.
Sites, in units of the cell vectors:
As (0.0000, 0.2594, 0.7619)  2 Pa 2.91, 1 Sm 2.96, 3 Nd 2.99-3.04
Nd (0.5000, 0.0000, 0.5000)  6 As 3.04-3.05
As (0.5000, 0.2545, 0.2407)  1 Pa 2.89, 2 Sm 2.96, 3 Nd 2.99-3.05
Sm (0.0000, 0.0000, 0.0000)  6 As 2.96
As (0.0000, 0.7406, 0.2381)  2 Pa 2.91, 1 Sm 2.96, 3 Nd 2.99-3.04
As (0.5000, 0.7455, 0.7593)  1 Pa 2.89, 2 Sm 2.96, 3 Nd 2.99-3.05
Nd (0.0000, 0.5000, 0.5000)  6 As 2.99
Pa (0.5000, 0.5000, 0.0000)  6 As 2.89-2.91

=====

This record from the Alexandria database describes an optimized crystal structure of Be2Zn2Au. The functional is PBE.

Its density of states at the Fermi level is 0.33 states/eV/atom. As for the size of the total moment: 0.0 μB per formula unit. The energy of formation comes out at 0.43 eV per formula unit. The space-group type is P4/mbm, No. 127. The calculation puts the total energy at -2.57 eV/atom.

Unit cell a=6.1865 b=6.1865 c=3.4053 alpha=90.00 beta=90.00 gamma=90.00
Closest atoms and distances in Å follow each position.
Sites, in units of the cell vectors:
Zn (0.6563, 0.8437, 0.5000)  6 Be 2.47-2.52, 1 Zn 2.73
Be (0.8684, 0.6316, 0.0000)  1 Be 2.30, 2 Au 2.42, 6 Zn 2.47-2.52
Be (0.6316, 0.1316, 0.0000)  1 Be 2.30, 2 Au 2.42, 6 Zn 2.47-2.52
Be (0.1316, 0.3684, 0.0000)  1 Be 2.30, 2 Au 2.42, 6 Zn 2.47-2.52
Au (0.0000, 0.0000, 0.0000)  4 Be 2.42
Au (0.5000, 0.5000, 0.0000)  4 Be 2.42
Be (0.3684, 0.8684, 0.0000)  1 Be 2.30, 2 Au 2.42, 6 Zn 2.47-2.52
Zn (0.3437, 0.1563, 0.5000)  6 Be 2.47-2.52, 1 Zn 2.73
Zn (0.1563, 0.6563, 0.5000)  6 Be 2.47-2.52, 1 Zn 2.73
Zn (0.8437, 0.3437, 0.5000)  6 Be 2.47-2.52, 1 Zn 2.73

=====

This record from the Alexandria database describes an optimized crystal structure of ScPaMnOs. The functional is PBE.

Its density of states at the Fermi level is 0.78 states/eV/atom. As for the size of the total moment: 0.1 μB per formula unit. The energy of formation comes out at -0.73 eV per formula unit. The space-group type is F-43m, No. 216. The calculation puts the total energy at -9.24 eV/atom.

Unit cell a=4.6738 b=4.6738 c=4.6738 alpha=60.00 beta=60.00 gamma=60.00
Closest atoms and distances in Å follow each position.
Sites, in units of the cell vectors:
Os (0.7500, 0.7500, 0.7500)  4 Pa 2.86, 4 Sc 2.86
Sc (0.0000, 0.0000, 0.0000)  4 Mn 2.86, 4 Os 2.86
Pa (0.5000, 0.5000, 0.5000)  4 Os 2.86, 4 Mn 2.86
Mn (0.2500, 0.2500, 0.2500)  4 Pa 2.86, 4 Sc 2.86

=====

This record from the Alexandria database describes an optimized crystal structure of Ac2HgGePd6. The functional is PBE.

Its density of states at the Fermi level is 0.39 states/eV/atom. As for the size of the total moment: 0.0 μB per formula unit. The energy of formation comes out at -6.56 eV per formula unit. The space-group type is C2/m, No. 12. The calculation puts the total energy at -5.09 eV/atom.

Unit cell a=5.6132 b=8.8411 c=7.0953 alpha=47.87 beta=66.71 gamma=90.00
Closest atoms and distances in Å follow each position.
Sites, in units of the cell vectors:
Ac (0.2542, 0.7281, 0.4913)  7 Pd 3.10-3.44
Pd (0.7456, 0.7265, 0.0114)  1 Ge 2.49, 1 Hg 2.75, 2 Pd 2.79
Pd (0.2434, 0.7264, 0.0120)  1 Ge 2.49, 1 Hg 2.75, 2 Pd 2.79
Pd (0.7481, 0.9093, 0.5030)  1 Ge 2.54, 1 Hg 2.75, 4 Pd 2.79
Pd (0.7566, 0.2736, 0.9880)  1 Ge 2.49, 1 Hg 2.75, 2 Pd 2.79
Ac (0.7458, 0.2719, 0.5087)  7 Pd 3.10-3.44
Pd (0.2544, 0.2735, 0.9886)  1 Ge 2.49, 1 Hg 2.75, 2 Pd 2.79
Ge (0.5000, 0.5000, 0.0000)  6 Pd 2.49-2.54
Pd (0.2519, 0.0907, 0.4970)  1 Ge 2.54, 1 Hg 2.75, 4 Pd 2.79
Hg (0.0000, 0.0000, 0.0000)  6 Pd 2.75

=====

This record from the Alexandria database describes an optimized crystal structure of MgPt2W. The functional is PBE.

Its density of states at the Fermi level is 0.43 states/eV/atom. As for the size of the total moment: 0.0 μB per formula unit. The energy of formation comes out at -1.56 eV per formula unit. The space-group type is Cm, No. 8. The calculation puts the total energy at -7.05 eV/atom.

Unit cell a=4.9327 b=4.9327 c=4.8675 alpha=82.81 beta=82.81 gamma=32.93
Closest atoms and distances in Å follow each position.
Sites, in units of the cell vectors:
Pt (0.9974, 0.9974, 0.9552)  3 Mg 2.63-2.73, 2 Pt 2.80, 4 W 2.80-2.82
Pt (0.2508, 0.2508, 0.2941)  3 W 2.66-2.71, 2 Pt 2.80, 4 Mg 2.81
Mg (0.7428, 0.7428, 0.7955)  7 Pt 2.63-2.81, 2 Mg 2.80, 1 W 2.93
W (0.5090, 0.5090, 0.4552)  7 Pt 2.66-2.82, 2 W 2.80, 1 Mg 2.93

=====

This record from the Alexandria database describes an optimized crystal structure of TbDy2Ho. The functional is PBE.

Its density of states at the Fermi level is 2.62 states/eV/atom. As for the size of the total moment: 0.1 μB per formula unit. The energy of formation comes out at 0.59 eV per formula unit. The space-group type is Fm-3m, No. 225. The calculation puts the total energy at -4.46 eV/atom. The value obtained for the distance to the lowest polymorph of the same formula is 140 meV/atom.

Unit cell a=5.6406 b=5.6406 c=5.6406 alpha=60.00 beta=60.00 gamma=60.00
Closest atoms and distances in Å follow each position.
Sites, in units of the cell vectors:
Ho (0.5000, 0.5000, 0.5000)  8 Dy 3.45
Tb (0.0000, 0.0000, 0.0000)  8 Dy 3.45
Dy (0.7500, 0.7500, 0.7500)  4 Ho 3.45, 4 Tb 3.45
Dy (0.2500, 0.2500, 0.2500)  4 Tb 3.45, 4 Ho 3.45

=====

This record from the Alexandria database describes an optimized crystal structure of CsLi2Cd2. The functional is PBE.

Its density of states at the Fermi level is 0.65 states/eV/atom. As for the size of the total moment: 0.0 μB per formula unit. The energy of formation comes out at 0.01 eV per formula unit. The space-group type is I4/mmm, No. 139. The calculation puts the total energy at -1.30 eV/atom. The value obtained for the distance to the lowest polymorph of the same formula is 17 meV/atom.

Unit cell a=5.2760 b=5.2760 c=6.8861 alpha=67.48 beta=67.48 gamma=90.00
Closest atoms and distances in Å follow each position.
Sites, in units of the cell vectors:
Li (0.2500, 0.7500, 0.5000)  4 Cd 2.95
Cs (0.0000, 0.0000, 0.0000)  8 Li 3.92, 10 Cd 4.05-4.22
Cd (0.3649, 0.3649, 0.2702)  4 Li 2.95, 1 Cd 3.13
Cd (0.6351, 0.6351, 0.7298)  4 Li 2.95, 1 Cd 3.13
Li (0.7500, 0.2500, 0.5000)  4 Cd 2.95

=====

This record from the Alexandria database describes an optimized crystal structure of Sc4PS4. The functional is PBE.

Its density of states at the Fermi level is 0.26 states/eV/atom. As for the size of the total moment: 0.0 μB per formula unit. The space-group type is C2/m, No. 12. The calculation puts the total energy at -7.02 eV/atom. The calculation puts the uncorrected formation energy at -1.77 eV per atom.

Unit cell a=5.2366 b=6.4067 c=6.4084 alpha=80.43 beta=65.88 gamma=65.88
Closest atoms and distances in Å follow each position.
Sites, in units of the cell vectors:
S (0.3994, 0.4066, 0.7947)  5 Sc 2.59-2.68
Sc (0.7093, 0.1913, 0.3901)  1 P 2.54, 5 S 2.59-2.68
S (0.6006, 0.5934, 0.2053)  5 Sc 2.59-2.68
S (0.1940, 0.2053, 0.4067)  5 Sc 2.59-2.68
Sc (0.2907, 0.8087, 0.6099)  1 P 2.54, 5 S 2.59-2.68
Sc (0.9006, 0.3900, 0.8088)  1 P 2.54, 5 S 2.59-2.68
S (0.8060, 0.7947, 0.5933)  5 Sc 2.59-2.68
Sc (0.0994, 0.6100, 0.1912)  1 P 2.54, 5 S 2.59-2.68
P (0.0000, 0.0000, 0.0000)  4 Sc 2.54

=====

This record from the Alexandria database describes an optimized crystal structure of KLaTa2. The functional is PBE.

Its density of states at the Fermi level is 1.05 states/eV/atom. As for the size of the total moment: 0.0 μB per formula unit. The energy of formation comes out at 3.95 eV per formula unit. The space-group type is C2/m, No. 12. The calculation puts the total energy at -6.45 eV/atom. The value obtained for the distance to the lowest polymorph of the same formula is 433 meV/atom.

Unit cell a=5.8208 b=5.8208 c=7.6444 alpha=87.37 beta=87.37 gamma=30.57
Closest atoms and distances in Å follow each position.
Sites, in units of the cell vectors:
K (0.7500, 0.7500, 0.7500)  2 K 3.07
Ta (0.5075, 0.5075, 0.3920)  2 Ta 2.67
La (0.2500, 0.2500, 0.2500)  2 La 3.07, 6 Ta 3.14-3.27
Ta (0.9925, 0.9925, 0.1080)  2 Ta 2.67

=====

This record from the Alexandria database describes an optimized crystal structure of CaRe2Tc. The functional is PBE.

Its density of states at the Fermi level is 1.02 states/eV/atom. As for the size of the total moment: 0.0 μB per formula unit. The energy of formation comes out at 2.27 eV per formula unit. The space-group type is Cmm2, No. 35. The calculation puts the total energy at -8.75 eV/atom. The value obtained for the distance to the lowest polymorph of the same formula is 104 meV/atom.

Unit cell a=2.7577 b=2.7577 c=9.4616 alpha=90.00 beta=90.00 gamma=109.76
Closest atoms and distances in Å follow each position.
Sites, in units of the cell vectors:
Re (0.0000, 0.0000, 0.0248)  6 Re 2.67-2.76
Tc (0.0000, 0.0000, 0.4749)  2 Re 2.64, 4 Tc 2.76
Ca (0.5000, 0.5000, 0.7483)  4 Ca 2.76, 2 Tc 3.03, 2 Re 3.06
Re (0.5000, 0.5000, 0.2520)  2 Tc 2.64, 6 Re 2.67-2.76

=====

This record from the Alexandria database describes an optimized crystal structure of LiCuH3. The functional is PBE.

As for the size of the total moment: 0.0 μB per formula unit. The space-group type is C2/c, No. 15. The calculation puts the total energy at -3.25 eV/atom.

Unit cell a=5.1354 b=8.5304 c=8.5304 alpha=38.80 beta=55.00 gamma=55.00
Closest atoms and distances in Å follow each position.
Sites, in units of the cell vectors:
H (0.5124, 0.6804, 0.8819)  2 Cu 1.61-1.62
H (0.1030, 0.2899, 0.4556)  1 Cu 1.64
H (0.8970, 0.7101, 0.5444)  1 Cu 1.64
H (0.4876, 0.3196, 0.1181)  2 Cu 1.61-1.62
Cu (0.6714, 0.5062, 0.8157)  4 H 1.61-1.64
Li (0.7500, 0.0596, 0.9404)  4 H 1.80-1.94
Li (0.2500, 0.4300, 0.5700)  4 H 1.87-1.93
Li (0.7500, 0.5700, 0.4300)  4 H 1.87-1.93
Cu (0.8286, 0.1843, 0.4938)  4 H 1.61-1.64
H (0.5696, 0.1386, 0.7505)  1 Cu 1.62, 1 Li 1.80
Cu (0.3286, 0.4938, 0.1843)  4 H 1.61-1.64
Cu (0.1714, 0.8157, 0.5062)  4 H 1.61-1.64
H (0.3970, 0.5444, 0.7101)  1 Cu 1.64
H (0.6030, 0.4556, 0.2899)  1 Cu 1.64
H (0.0696, 0.7505, 0.1386)  1 Cu 1.62, 1 Li 1.80
H (0.9876, 0.1181, 0.3196)  2 Cu 1.61-1.62
H (0.0124, 0.8819, 0.6804)  2 Cu 1.61-1.62
Li (0.2500, 0.9404, 0.0596)  4 H 1.80-1.94
H (0.9304, 0.2495, 0.8614)  1 Cu 1.62, 1 Li 1.80
H (0.4304, 0.8614, 0.2495)  1 Cu 1.62, 1 Li 1.80